NdPaHg2O8 | PBE | relaxed

The structure in POSCAR format:
```
NdPaHg2O8
1.0
-3.6913 3.6913 3.6475
3.6913 -3.6913 3.6475
3.6913 3.6913 -3.6475
Nd Pa Hg O
1 1 2 8
direct
0.0000 0.0000 0.0000
0.7500 0.2500 0.5000
0.2500 0.7500 0.5000
0.5000 0.5000 0.0000
0.0101 0.3403 0.3302
0.0101 0.6799 0.6698
0.0765 0.2689 0.8076
0.3201 0.9899 0.3302
0.4613 0.2689 0.1924
0.6597 0.9899 0.6698
0.7311 0.5387 0.8076
0.7311 0.9235 0.1924
```

spin magnetization: 0.0 μB/f.u.
symmetry: I-4m2 (119)
raw formation energy: -1.50 eV per atom